Compound: NaTeOF2
Source: Alexandria via LeMat-Bulk
Functional: PBE-GGA
Structure: optimized geometry

Lattice parameters (Å, degrees): 3.914 3.914 4.408 90.00 90.00 90.00
Fractional coordinates of all 5 atoms:
Na 0.000 0.000 0.000
Te 0.500 0.500 0.500
O 0.000 0.000 0.500
F 0.000 0.500 0.000
F 0.500 0.000 0.000

Calculated values
Uncorrected formation energy, eV per atom: -0.8879
V, Å³/f.u.: 67.5
E_tot, eV per atom: -3.520
Relative energy among the computed polymorphs, meV/atom: 596.7